Material: ThIr4
Method: DFT, GGA-PBE
State: optimized geometry

Cell lengths 4.974, 4.974, 4.974 Å; angles 90.00, 90.00, 90.00 degrees
Each line ends with the local moment (μB).
Element x y z (fractional)
Ir (0.000, 0.000, 0.000)  1.23
Ir (0.500, 0.000, 0.500)  0.30
Ir (0.000, 0.500, 0.500)  0.30
Ir (0.500, 0.500, 0.000)  0.30
Th (0.500, 0.500, 0.500)  -0.04

Summary:
* relative energy among the computed polymorphs: 2703 meV/atom

---

Material: ThIr2
Method: DFT, GGA-PBE
State: optimized geometry

Cell lengths 5.452, 5.452, 5.452 Å; angles 60.00, 60.00, 60.00 degrees
Element x y z (fractional)
Th (0.250, 0.250, 0.250)
Th (0.000, 0.000, 0.000)
Ir (0.625, 0.625, 0.625)
Ir (0.125, 0.625, 0.625)
Ir (0.625, 0.125, 0.625)
Ir (0.625, 0.625, 0.125)

---

Material: ThIr
Method: DFT, GGA-PBE
State: optimized geometry

Cell lengths 4.726, 4.726, 6.540 Å; angles 68.87, 68.87, 59.95 degrees
Element x y z (fractional)
Th (0.759, 0.759, 0.722)
Th (0.241, 0.241, 0.278)
Ir (0.926, 0.926, 0.223)
Ir (0.074, 0.074, 0.777)

---

Material: Th3Ir
Method: DFT, GGA-PBE
State: optimized geometry

Cell lengths 3.708, 6.015, 6.275 Å; angles 118.64, 107.19, 90.00 degrees
Element x y z (fractional)
Ir (0.000, 0.037, 0.000)
Th (0.304, 0.668, 0.608)
Th (0.500, 0.401, 0.000)
Th (0.696, 0.060, 0.392)

---

Material: Th2Ir17
Method: DFT, GGA-PBE
State: optimized geometry

Cell lengths 6.864, 6.864, 6.864 Å; angles 83.30, 83.30, 83.30 degrees
Element x y z (fractional)
Th (0.339, 0.339, 0.339)
Th (0.661, 0.661, 0.661)
Ir (0.649, 0.649, 0.150)
Ir (0.150, 0.649, 0.649)
Ir (0.891, 0.891, 0.891)
Ir (0.109, 0.109, 0.109)
Ir (0.000, 0.000, 0.500)
Ir (0.000, 0.500, 0.000)
Ir (0.500, 0.000, 0.000)
Ir (0.294, 0.706, 0.000)
Ir (0.706, 0.000, 0.294)
Ir (0.000, 0.294, 0.706)
Ir (0.706, 0.294, 0.000)
Ir (0.294, 0.000, 0.706)
Ir (0.000, 0.706, 0.294)
Ir (0.850, 0.351, 0.351)
Ir (0.351, 0.351, 0.850)
Ir (0.351, 0.850, 0.351)
Ir (0.649, 0.150, 0.649)

---

Material: ThTi2Ir2
Method: DFT, GGA-PBE
State: optimized geometry

Cell lengths 4.282, 4.282, 6.208 Å; angles 110.17, 110.17, 90.00 degrees
Element x y z (fractional)
Th (0.000, 0.000, 0.000)
Ti (0.750, 0.250, 0.500)
Ti (0.250, 0.750, 0.500)
Ir (0.623, 0.623, 0.246)
Ir (0.377, 0.377, 0.754)

---

Material: ThTiIr2
Method: DFT, GGA-PBE
State: optimized geometry

Cell lengths 4.265, 4.265, 5.696 Å; angles 68.02, 68.02, 60.00 degrees
Element x y z (fractional)
Ir (0.281, 0.281, 0.156)
Ir (0.719, 0.719, 0.844)
Th (0.500, 0.500, 0.500)
Ti (0.000, 0.000, 0.000)

---

Material: Th2ZrTiIr2
Method: DFT, GGA-PBE
State: optimized geometry

Cell lengths 6.433, 6.407, 8.182 Å; angles 113.05, 113.15, 90.00 degrees
Element x y z (fractional)
Th (0.468, 0.184, 0.368)
Th (0.532, 0.816, 0.632)
Th (0.100, 0.316, 0.632)
Th (0.900, 0.684, 0.368)
Zr (0.000, 0.750, 0.000)
Zr (0.000, 0.250, 0.000)
Ti (0.500, 0.750, 0.000)
Ti (0.500, 0.250, 0.000)
Ir (0.832, 0.103, 0.206)
Ir (0.374, 0.603, 0.206)
Ir (0.626, 0.397, 0.794)
Ir (0.168, 0.897, 0.794)

---

Number 1: energy of formation from the pure elements 2.298 eV/atom. Number 2: energy of formation from the pure elements -0.813 eV/atom. Number 3: energy of formation from the pure elements -0.632 eV/atom. Number 4: energy of formation from the pure elements -0.414 eV/atom. Number 5: energy of formation from the pure elements -0.184 eV/atom. Number 6: energy of formation from the pure elements -0.811 eV/atom. Number 7: energy of formation from the pure elements -0.797 eV/atom. Number 8: energy of formation from the pure elements -0.641 eV/atom.